Fe2SiW: relaxed, GGA-PBEsol.

Cell lengths 2.6598, 2.6598, 23.5912 Å; angles 90.00, 90.00, 120.00 degrees
Space group R-3m (No. 166, hexagonal axes)
Inequivalent atoms, fractional coordinates:
Fe (0.0000, 0.0000, 0.2438)
Si (0.0000, 0.0000, 0.5000)
W (0.0000, 0.0000, 0.0000)

Calculated values
Uncorrected energy ... -112.2 eV for the cell shown

Mn2Pt: relaxed, GGA-PBEsol.

Cell lengths 6.614, 6.614, 6.614 Å; angles 90.00, 90.00, 90.00 degrees
Space group Fd-3m (No. 227, origin choice 2)
Inequivalent atoms, fractional coordinates:
Mn (0.000, 0.000, 0.000)
Pt (0.125, 0.125, 0.625)

Calculated values
E_form ... 0.029 eV/atom

MnPO2F: relaxed, GGA-PBEsol.

Cell lengths 3.439, 3.439, 4.753 Å; angles 90.00, 90.00, 90.00 degrees
Space group P4/mmm (No. 123)
Inequivalent atoms, fractional coordinates:
Mn (0.000, 0.000, 0.000)
P (0.000, 0.000, 0.500)
O (0.000, 0.500, 0.000)
F (0.500, 0.500, 0.500)

Calculated values
Uncorrected energy ... -32.1 eV for the cell shown

NdIr5: relaxed, GGA-PBEsol.

Cell lengths 5.2817, 5.2817, 4.2920 Å; angles 90.00, 90.00, 120.00 degrees
Space group P6/mmm (No. 191)
Inequivalent atoms, fractional coordinates:
Nd (0.0000, 0.0000, 0.0000)
Ir (0.0000, 0.5000, 0.5000)
Ir (0.3333, 0.6667, 0.0000)

Calculated values
E_form ... -0.209 eV/atom

YTmMg2: relaxed, GGA-PBEsol.

Cell lengths 7.461, 7.461, 7.461 Å; angles 90.00, 90.00, 90.00 degrees
Space group Fm-3m (No. 225)
Inequivalent atoms, fractional coordinates:
Y (0.000, 0.000, 0.000)
Tm (0.000, 0.000, 0.500)
Mg (0.250, 0.250, 0.250)

Calculated values
E_form ... -0.072 eV/atom

Li2FeTc: relaxed, GGA-PBEsol.

Cell lengths 2.795, 3.858, 9.042 Å; angles 90.00, 90.00, 90.00 degrees
Space group Immm (No. 71)
Inequivalent atoms, fractional coordinates:
Li (0.000, 0.000, 0.239)
Fe (0.000, 0.500, 0.500)
Tc (0.000, 0.500, 0.000)

Calculated values
Polymorph energy (0 for the lowest one) ... 17 meV per atom
E_form ... 0.342 eV/atom

CuPt2W: relaxed, GGA-PBEsol.

Cell lengths 2.729, 2.729, 7.621 Å; angles 90.00, 90.00, 90.00 degrees
Space group P4mm (No. 99)
Inequivalent atoms, fractional coordinates:
Cu (0.000, 0.000, 0.000)
Pt (0.000, 0.000, 0.505)
Pt (0.500, 0.500, 0.231)
W (0.500, 0.500, 0.758)

Calculated values
Polymorph energy (0 for the lowest one) ... 203 meV per atom
E_form ... -0.072 eV/atom

Re3Ir: relaxed, GGA-PBEsol.

Cell lengths 2.742, 4.388, 4.782 Å; angles 90.00, 90.00, 90.00 degrees
Space group Pmm2 (No. 25)
Inequivalent atoms, fractional coordinates:
Re (0.000, 0.000, 0.000)
Re (0.000, 0.500, 0.330)
Re (0.500, 0.500, 0.830)
Ir (0.500, 0.000, 0.494)

Calculated values
E_form ... -0.177 eV/atom

Fermi-level density of states readings, ordered: 1.20, 1.43, 0.52, 1.43, 1.37, 0.90, 0.42, 0.68 states/eV/atom